## CaCrN2F (GGA+U)

Data for a relaxed CaCrN2F crystal. Values from VASP.

The calculation puts the magnetization at 1.00 μB per formula unit. For the uncorrected energy, the calculation gives -5.21 eV per atom. For the offset from the most stable computed form, the calculation gives 1.2033 eV/atom. The symmetry is P4/mmm, No. 123.

```
&SYSTEM
  ibrav = 0, nat = 5, ntyp = 4
/
ATOMIC_SPECIES
Ca 40.08 Ca.upf
Cr 52.00 Cr.upf
N 14.01 N.upf
F 19.00 F.upf
CELL_PARAMETERS angstrom
4.616 0.000 0.000
0.000 4.616 0.000
0.000 0.000 4.184
ATOMIC_POSITIONS crystal
Ca 0.000 0.000 0.000
Cr 0.500 0.500 0.500
N 0.000 0.500 0.000
N 0.500 0.000 0.000
F 0.000 0.000 0.500
```